Compound: Si2GeMoF
Source: Alexandria via LeMat-Bulk
Functional: GGA+U
Structure: relaxed

Lattice parameters (Å, degrees): 4.9106 4.9106 3.9400 90.00 90.00 90.00
Last column: nearest neighbours and their distance in Å.
Sites, in units of the cell vectors:
Si1 0.0000 0.5000 0.0000  2 Ge 2.46
Si2 0.5000 0.0000 0.0000  2 Ge 2.46
Ge1 0.0000 0.0000 0.0000  2 F 1.97
Mo1 0.5000 0.5000 0.5000  8 Si 3.15, 4 F 3.47
F1 0.0000 0.0000 0.5000  2 Ge 1.97

Summary:
Final energy = -0.3309 Ry/atom
Volume = 19.0 Å³/atom